{
  "formula": "Pr2Dy9Y",
  "functional": "PBE",
  "state": "optimized geometry",
  "lattice_angstrom": [[11.311, 0.000, 0.000], [-5.656, 9.796, 0.000], [0.000, 0.000, 3.505]],
  "species": ["Pr", "Pr", "Dy", "Dy", "Dy", "Dy", "Dy", "Dy", "Dy", "Dy", "Dy", "Y"],
  "frac_coords": [[0.333, 0.667, 0.000], [0.667, 0.333, 0.000], [0.000, 0.500, 0.000], [0.173, 0.347, 0.500], [0.173, 0.827, 0.500], [0.347, 0.173, 0.500], [0.500, 0.000, 0.000], [0.500, 0.500, 0.000], [0.653, 0.827, 0.500], [0.827, 0.173, 0.500], [0.827, 0.653, 0.500], [0.000, 0.000, 0.000]],
  "space_group": "No. 191",
  "e_form_mev_per_atom": 68,
  "volume_a3_per_atom": 32.4,
  "relative_energy_mev_per_atom": 45
}